Material: YTm3
Method: DFT, PBE-GGA
State: optimized geometry

extended XYZ file:
```
4
Lattice="4.964 0.000 0.000 0.000 4.964 0.000 0.000 0.000 4.964" Properties=species:S:1:pos:R:3 pbc="T T T"
Y 0.000 0.000 0.000
Tm 0.000 2.482 2.482
Tm 2.482 0.000 2.482
Tm 2.482 2.482 0.000
```

Properties
Polymorph energy (0 for the lowest one) = 32 meV per atom
Total moment = 0.00 μB per formula unit
Energy of formation from the pure elements = 12 kJ/mol of formula units

---

Material: Y7Tm
Method: DFT, PBE-GGA
State: optimized geometry

extended XYZ file:
```
8
Lattice="0.000 5.035 5.035 5.035 0.000 5.035 5.035 5.035 0.000" Properties=species:S:1:pos:R:3 pbc="T T T"
Y 0.000 0.000 0.000
Y 2.517 2.517 0.000
Y 2.517 0.000 2.517
Y 5.035 2.517 2.517
Y 0.000 2.517 2.517
Y 2.517 5.035 2.517
Y 2.517 2.517 5.035
Tm 5.035 5.035 5.035
```

Properties
Polymorph energy (0 for the lowest one) = 0 meV per atom
Total moment = 0.00 μB per formula unit
Energy of formation from the pure elements = 22 kJ/mol of formula units

---

Material: YTm3
Method: DFT, PBE-GGA
State: optimized geometry

extended XYZ file:
```
4
Lattice="0.000 3.966 3.966 3.966 0.000 3.966 3.966 3.966 0.000" Properties=species:S:1:pos:R:3 pbc="T T T"
Y 0.000 0.000 0.000
Tm 1.983 1.983 1.983
Tm 3.966 3.966 3.966
Tm 5.949 5.949 5.949
```

Properties
Polymorph energy (0 for the lowest one) = 141 meV per atom
Total moment = 0.39 μB per formula unit
Energy of formation from the pure elements = 54 kJ/mol of formula units

---

| no. | N(E_F) (states/eV/cell) |
| --- | --- |
| 1 | 6.0 |
| 2 | 14.4 |
| 3 | 10.3 |